Record 1
Tl2AsRu | Alexandria via LeMat-Bulk | PBE | optimized geometry; symmetry = R-3m, No. 166; calculated density = 11.28 g/cm3; energy above the most stable polymorph in this dataset = 559 meV/atom; energy relative to the elements = 610 meV/atom; calculated volume = 86.1 Å³/cell
1.0
9.641 0.051 0.030
9.080 3.243 0.030
9.080 1.598 2.823
Ru Tl As
1 2 1
Cartesian
20.850 3.669 2.162
0.226 0.040 0.023
13.675 2.406 1.418
6.950 1.223 0.721


Record 2
TlAsRu2 | Alexandria via LeMat-Bulk | PBE | optimized geometry; symmetry = Pm, No. 6; calculated density = 11.30 g/cm3; energy above the most stable polymorph in this dataset = 139 meV/atom; energy relative to the elements = 335 meV/atom; calculated volume = 70.7 Å³/cell
1.0
4.713 0.000 0.000
0.000 3.083 -0.084
0.000 0.117 4.866
Ru Tl As
2 1 1
Cartesian
0.000 2.699 -0.001
2.356 1.182 0.836
0.000 1.212 2.426
2.356 2.790 3.829